[1]
Crystalline TcP2Os at its relaxed geometry. Source: Alexandria via LeMat-Bulk, functional PBE.

Calculated values
volume = 57 Å³/cell
total DFT energy (no corrections) = -0.28651 Ha/atom
formation energy from the elements = 0.31 eV/atom
relative energy among the computed polymorphs = 0.6128 eV per atom
space-group type = Cmmm (65)

abc: 2.967 2.967 7.634
angles: 90.00 90.00 121.80
Sites, in units of the cell vectors:
Os 0.500 0.500 0.750
P 0.000 0.000 0.001
P 0.000 0.000 0.499
Tc 0.500 0.500 0.250


[2]
Crystalline Pr5SmTl6 at its relaxed geometry. Source: Alexandria via LeMat-Bulk, functional PBE.

Calculated values
volume = 362 Å³/cell
total DFT energy (no corrections) = -0.14545 Ha/atom
formation energy from the elements = -0.39 eV/atom
space-group type = P-1 (2)

abc: 5.550 9.595 9.612
angles: 60.11 73.27 54.61
Sites, in units of the cell vectors:
Pr 0.500 0.169 0.662
Pr 0.000 0.334 0.331
Pr 0.500 0.500 0.000
Pr 0.000 0.666 0.669
Pr 0.500 0.831 0.338
Sm 0.000 0.000 0.000
Tl 0.753 0.082 0.330
Tl 0.247 0.588 0.330
Tl 0.256 0.244 0.000
Tl 0.744 0.756 0.000
Tl 0.753 0.412 0.670
Tl 0.247 0.918 0.670


[3]
Crystalline Ba2TeAs at its relaxed geometry. Source: Alexandria via LeMat-Bulk, functional PBE.

Calculated values
volume = 444 Å³/cell
total DFT energy (no corrections) = -0.14166 Ha/atom
formation energy from raw total energies = -365 kJ/mol of formula units
relative energy among the computed polymorphs = 0.2876 eV per atom
space-group type = I-42d (122)

abc: 7.328 7.328 9.753
angles: 67.93 67.93 90.00
Last column: magnetic moment on the atom in μB.
Sites, in units of the cell vectors:
As 0.500 0.500 0.000  0.35
As 0.250 0.750 0.500  0.35
Te 0.000 0.000 0.000  0.02
Te 0.750 0.250 0.500  0.03
Ba 0.603 0.125 0.250  0.03
Ba 0.147 0.625 0.250  0.03
Ba 0.375 0.397 0.750  0.03
Ba 0.875 0.853 0.750  0.03


Question: Which value of volume does entry 3 give?
Answer: 444 Å³/cell